No. 1
Compound: NpTiS4
Source: the Alexandria database
Functional: GGA-PBE
Structure: optimized geometry

The structure belongs to space group C2/m (No. 12); the cell edges are 13.262, 3.715 and 6.372 Å and the angles 90.00°, 102.31° and 90.00°. Symmetry generates all atoms from Np at (0.000, 0.000, 0.000), Ti at (0.000, 0.500, 0.500), S at (0.106, 0.000, 0.398) and S at (0.110, 0.500, 0.858).

As for the total energy: -7.45 eV/atom. The raw formation energy comes out at -1222 meV per atom. As for the density: 4.5 Mg/m³. The value obtained for the density of states at the Fermi level is 1.184 states/eV per atom. The value obtained for the total moment is 6.01 μB per cell.



No. 2
Compound: BaCo2
Source: the Alexandria database
Functional: GGA-PBE
Structure: optimized geometry

The structure belongs to space group C2/m (No. 12); the cell edges are 10.716, 4.024 and 7.987 Å and the angles 90.00°, 125.46° and 90.00°. Symmetry generates all atoms from Ba at (0.056, 0.000, 0.325), Co at (0.132, 0.500, 0.072) and Co at (0.248, 0.000, 0.101).

As for the total energy: -5.05 eV/atom. As for the density: 6.0 Mg/m³. The value obtained for the density of states at the Fermi level is 0.934 states/eV per atom. The formation energy is 0.98 eV/f.u. The value obtained for the total moment is 10.26 μB per cell.



No. 3
Compound: LiNi2As
Source: the Alexandria database
Functional: GGA-PBE
Structure: optimized geometry

The structure belongs to space group I-4m2 (No. 119); the cell edges are 3.552, 3.552 and 7.412 Å and the angles 90.00°, 90.00° and 90.00°. Symmetry generates all atoms from Li at (0.000, 0.000, 0.000), Ni at (0.000, 0.000, 0.500), Ni at (0.000, 0.500, 0.250) and As at (0.000, 0.500, 0.750).

As for the total energy: -4.82 eV/atom. As for the density: 7.1 Mg/m³. The value obtained for the density of states at the Fermi level is 0.802 states/eV per atom. The formation energy is -1.15 eV/f.u. The value obtained for the total moment is 0.00 μB per cell.